The following is a PBE calculation of an optimized crystal structure of TbTmNiOs, from Alexandria via LeMat-Bulk.

Results
Total DFT energy (no corrections) in eV/atom: -6.85
M_tot in μB per cell: 0.00

a = 4.7790 Å, b = 4.7790 Å, c = 4.7790 Å
α = 60.00°, β = 60.00°, γ = 60.00°
Element x y z (fractional)
Os 0.7500 0.7500 0.7500
Ni 0.2500 0.2500 0.2500
Tm 0.5000 0.5000 0.5000
Tb 0.0000 0.0000 0.0000



The following is a PBE calculation of an optimized crystal structure of Al8Si2Rh, from Alexandria via LeMat-Bulk.

Results
Total DFT energy (no corrections) in eV/atom: -4.48
Formation energy from raw total energies in kJ per mole of atoms: -10.4
M_tot in μB per cell: 0.00

a = 4.0505 Å, b = 7.3154 Å, c = 7.2263 Å
α = 120.40°, β = 102.13°, γ = 90.00°
Element x y z (fractional)
Al 0.9999 0.7568 0.0000
Al 0.0001 0.2432 0.0000
Al 0.6183 0.8941 0.3134
Al 0.6184 0.4192 0.3135
Al 0.8722 0.8267 0.6533
Al 0.1278 0.1733 0.3467
Al 0.3817 0.1059 0.6866
Al 0.3816 0.5808 0.6865
Si 0.8789 0.3566 0.7131
Si 0.1211 0.6434 0.2869
Rh 0.5000 0.0000 0.0000



The following is a PBE calculation of an optimized crystal structure of Li2InTeS4, from Alexandria via LeMat-Bulk.

Results
Total DFT energy (no corrections) in eV/atom: -3.87
Formation energy from raw total energies in kJ per mole of atoms: -57.3
M_tot in μB per cell: 0.00

a = 7.4983 Å, b = 7.4983 Å, c = 7.6224 Å
α = 116.92°, β = 116.92°, γ = 88.68°
Element x y z (fractional)
S 0.2300 0.2215 0.9630
S 0.7763 0.2727 0.5548
S 0.2237 0.7273 0.4452
S 0.7727 0.2763 0.0548
S 0.2273 0.7237 0.9452
S 0.7700 0.7785 0.0370
S 0.7215 0.7300 0.4630
S 0.2785 0.2700 0.5370
Te 0.0000 0.0000 0.0000
Te 0.5000 0.5000 0.5000
In 0.0000 0.5000 0.0000
In 0.0000 0.5000 0.5000
Li 0.0000 0.0000 0.5000
Li 0.5000 0.5000 0.0000
Li 0.5000 0.0000 0.5000
Li 0.5000 0.0000 0.0000



The following is a PBE calculation of an optimized crystal structure of Pm5ScSn8, from Alexandria via LeMat-Bulk.

Results
Total DFT energy (no corrections) in eV/atom: -4.98
M_tot in μB per cell: 0.00

a = 8.0842 Å, b = 8.0842 Å, c = 8.0842 Å
α = 107.05°, β = 114.43°, γ = 107.05°
Element x y z (fractional)
Sn 0.5959 0.8923 0.8616
Sn 0.2964 0.2656 0.4041
Sn 0.6007 0.4093 0.8521
Sn 0.1479 0.7486 0.5572
Sn 0.1384 0.7343 0.0308
Sn 0.4428 0.5907 0.1914
Sn 0.8086 0.2514 0.3993
Sn 0.9692 0.1077 0.7036
Pm 0.3809 0.1364 0.0194
Pm 0.9806 0.3615 0.1170
Pm 0.5000 0.0000 0.5000
Pm 0.8830 0.8636 0.2445
Pm 0.7555 0.6385 0.6191
Sc 0.2500 0.5000 0.7500